1.
The following is a DFT calculation (PBE-GGA) of a geometry-optimized RbErCd17 structure.

Summary:
energy of formation from the pure elements: -0.0559 eV per atom
magnetic moment: 0.00 Bohr magnetons per cell

Structure (POSCAR):
```
RbErCd17
1.0
5.1221 2.9573 5.0606
-5.1221 2.9573 5.0606
0.0000 -5.9145 5.0606
Rb Er Cd
1 1 17
direct
0.0000 0.0000 0.0000
0.6640 0.6640 0.6640
0.0383 0.3398 0.6308
0.0383 0.6308 0.3398
0.2151 0.6853 0.6853
0.2476 0.2476 0.2476
0.3177 0.3177 0.8582
0.3177 0.8582 0.3177
0.3398 0.0383 0.6308
0.3398 0.6308 0.0383
0.4454 0.4454 0.4454
0.5360 0.9544 0.9544
0.6308 0.0383 0.3398
0.6308 0.3398 0.0383
0.6853 0.2151 0.6853
0.6853 0.6853 0.2151
0.8582 0.3177 0.3177
0.9544 0.5360 0.9544
0.9544 0.9544 0.5360
```

2.
The following is a DFT calculation (PBE-GGA) of a geometry-optimized Rb3Er2CdS6 structure.

Summary:
magnetic moment: 0.01 Bohr magnetons per cell
E_form (uncorrected): -1.38 eV/atom

Structure (POSCAR):
```
Rb3Er2CdS6
1.0
3.4951 -6.0496 0.0000
3.4951 6.0496 0.0000
-2.3186 0.0000 7.7094
Rb Er Cd S
3 2 1 6
direct
0.0000 0.0000 0.0000
0.3361 0.6639 0.0000
0.6639 0.3361 0.0000
0.1670 0.8330 0.5000
0.8330 0.1670 0.5000
0.5000 0.5000 0.5000
0.0965 0.4358 0.3075
0.2245 0.2245 0.6915
0.4358 0.0965 0.3075
0.5642 0.9035 0.6925
0.7755 0.7755 0.3085
0.9035 0.5642 0.6925
```

3.
The following is a DFT calculation (PBE-GGA) of a geometry-optimized RbErCdS3 structure.

Summary:
magnetic moment: 0.00 Bohr magnetons per cell
E_form (uncorrected): -1.40 eV/atom

Structure (POSCAR):
```
RbErCdS3
1.0
8.8762 0.0000 0.0000
0.0000 4.1181 0.0000
-3.2981 0.0000 9.5057
Rb Er Cd S
2 2 2 6
direct
0.2181 0.2500 0.2336
0.7819 0.7500 0.7664
0.3328 0.7500 0.8678
0.6672 0.2500 0.1322
0.0857 0.2500 0.6139
0.9143 0.7500 0.3861
0.1227 0.2500 0.8700
0.2218 0.7500 0.5514
0.4697 0.7500 0.1448
0.5303 0.2500 0.8552
0.7782 0.2500 0.4486
0.8773 0.7500 0.1300
```

4.
The following is a DFT calculation (PBE-GGA) of a geometry-optimized Rb2ErCd2Se4 structure.

Summary:
magnetic moment: 0.00 Bohr magnetons per cell
E_form (uncorrected): -1.09 eV/atom

Structure (POSCAR):
```
Rb2ErCd2Se4
1.0
8.4096 -2.0965 0.0000
8.4096 2.0965 0.0000
-3.4156 0.0000 7.8507
Rb Er Cd Se
2 1 2 4
direct
0.1266 0.1266 0.0624
0.8734 0.8734 0.9376
0.0000 0.0000 0.5000
0.3132 0.3132 0.4838
0.6868 0.6868 0.5162
0.1835 0.1835 0.7184
0.4784 0.4784 0.7158
0.5216 0.5216 0.2842
0.8165 0.8165 0.2816
```

5.
The following is a DFT calculation (PBE-GGA) of a geometry-optimized Er4CdRe structure.

Summary:
energy of formation from the pure elements: -0.1500 eV per atom
magnetic moment: 0.00 Bohr magnetons per cell

Structure (POSCAR):
```
Er4CdRe
1.0
4.2999 -6.3859 0.0000
4.2999 6.3859 0.0000
-1.7971 0.0000 5.9165
Er Cd Re
8 2 2
direct
0.0656 0.7233 0.9536
0.1981 0.3569 0.6071
0.2767 0.9344 0.5464
0.3569 0.1981 0.1071
0.6431 0.8019 0.8929
0.7233 0.0656 0.4536
0.8019 0.6431 0.3929
0.9344 0.2767 0.0464
0.3744 0.6256 0.2500
0.6256 0.3744 0.7500
0.0007 0.9993 0.7500
0.9993 0.0007 0.2500
```

6.
The following is a DFT calculation (PBE-GGA) of a geometry-optimized Er3Cd3Rh structure.

Summary:
energy of formation from the pure elements: -0.4576 eV per atom
magnetic moment: 0.00 Bohr magnetons per cell

Structure (POSCAR):
```
Er3Cd3Rh
1.0
0.0000 7.0127 7.0127
7.0127 0.0000 7.0127
7.0127 7.0127 0.0000
Er Cd Rh
12 12 4
direct
0.0808 0.0808 0.6692
0.0808 0.6692 0.0808
0.0808 0.6692 0.6692
0.3308 0.3308 0.9192
0.3308 0.9192 0.3308
0.3308 0.9192 0.9192
0.6692 0.0808 0.0808
0.6692 0.0808 0.6692
0.6692 0.6692 0.0808
0.9192 0.3308 0.3308
0.9192 0.3308 0.9192
0.9192 0.9192 0.3308
0.0000 0.5000 0.5000
0.2907 0.2907 0.2907
0.2907 0.2907 0.6279
0.2907 0.6279 0.2907
0.3721 0.7093 0.7093
0.5000 0.0000 0.5000
0.5000 0.5000 0.0000
0.5000 0.5000 0.5000
0.6279 0.2907 0.2907
0.7093 0.3721 0.7093
0.7093 0.7093 0.3721
0.7093 0.7093 0.7093
0.0000 0.0000 0.0000
0.0000 0.0000 0.5000
0.0000 0.5000 0.0000
0.5000 0.0000 0.0000
```

7.
The following is a DFT calculation (PBE-GGA) of a geometry-optimized Er2CdRh4 structure.

Summary:
energy of formation from the pure elements: -0.3394 eV per atom
magnetic moment: 0.00 Bohr magnetons per cell

Structure (POSCAR):
```
Er2CdRh4
1.0
2.2775 1.3149 7.4767
-2.2775 1.3149 7.4767
0.0000 -2.6299 7.4767
Er Cd Rh
2 1 4
direct
0.2451 0.2451 0.2451
0.7549 0.7549 0.7549
0.0000 0.0000 0.0000
0.1247 0.1247 0.1247
0.3756 0.3756 0.3756
0.6244 0.6244 0.6244
0.8753 0.8753 0.8753
```

8.
The following is a DFT calculation (PBE-GGA) of a geometry-optimized ErCd4Rh2 structure.

Summary:
energy of formation from the pure elements: -0.2161 eV per atom
magnetic moment: 0.00 Bohr magnetons per cell

Structure (POSCAR):
```
ErCd4Rh2
1.0
4.1425 0.0000 0.0000
0.0000 17.0895 0.0000
0.0000 0.0000 4.1628
Er Cd Rh
2 8 4
direct
0.0000 0.0000 0.0000
0.5000 0.5000 0.0000
0.0000 0.1783 0.5000
0.0000 0.3241 0.0000
0.0000 0.6759 0.0000
0.0000 0.8217 0.5000
0.5000 0.1759 0.0000
0.5000 0.3217 0.5000
0.5000 0.6783 0.5000
0.5000 0.8241 0.0000
0.0000 0.4283 0.5000
0.0000 0.5717 0.5000
0.5000 0.0717 0.5000
0.5000 0.9283 0.5000
```

9.
The following is a DFT calculation (PBE-GGA) of a geometry-optimized Er4CdRh2 structure.

Summary:
energy of formation from the pure elements: -0.5470 eV per atom
magnetic moment: 0.00 Bohr magnetons per cell
energy above the most stable polymorph in this dataset: 10 meV/atom

Structure (POSCAR):
```
Er4CdRh2
1.0
4.8747 0.0000 0.0000
0.0000 4.8747 0.0000
0.0000 0.0000 6.9866
Er Cd Rh
4 1 2
direct
0.0000 0.5000 0.2394
0.0000 0.5000 0.7606
0.5000 0.0000 0.2394
0.5000 0.0000 0.7606
0.0000 0.0000 0.5000
0.0000 0.0000 0.0000
0.5000 0.5000 0.5000
```

10.
The following is a DFT calculation (PBE-GGA) of a geometry-optimized Er6Cd5Rh structure.

Summary:
energy of formation from the pure elements: -0.4187 eV per atom
magnetic moment: 0.00 Bohr magnetons per cell

Structure (POSCAR):
```
Er6Cd5Rh
1.0
5.1543 0.0000 0.0000
0.0000 7.3617 0.0000
-2.5338 0.0000 7.7215
Er Cd Rh
6 5 1
direct
0.0000 0.2310 0.0000
0.0000 0.7690 0.0000
0.3444 0.2392 0.6886
0.3444 0.7608 0.6886
0.6556 0.2392 0.3114
0.6556 0.7608 0.3114
0.1713 0.5000 0.3429
0.1773 0.0000 0.3543
0.5000 0.5000 0.0000
0.8227 0.0000 0.6457
0.8287 0.5000 0.6571
0.5000 0.0000 0.0000
```

11.
The following is a DFT calculation (PBE-GGA) of a geometry-optimized Er2CdRh3 structure.

Summary:
energy of formation from the pure elements: -0.7415 eV per atom
magnetic moment: 0.00 Bohr magnetons per cell
energy above the most stable polymorph in this dataset: 0 meV/atom

Structure (POSCAR):
```
Er2CdRh3
1.0
4.7061 0.0000 0.0000
-2.3531 4.0756 0.0000
0.0000 0.0000 11.5475
Er Cd Rh
4 2 6
direct
0.0000 0.0000 0.0000
0.0000 0.0000 0.5000
0.3333 0.6667 0.1796
0.6667 0.3333 0.8204
0.3333 0.6667 0.6659
0.6667 0.3333 0.3341
0.0000 0.0000 0.2480
0.0000 0.0000 0.7520
0.3333 0.6667 0.4204
0.3333 0.6667 0.9177
0.6667 0.3333 0.0823
0.6667 0.3333 0.5796
```

12.
The following is a DFT calculation (PBE-GGA) of a geometry-optimized Er6Cd2Rh structure.

Summary:
energy of formation from the pure elements: -0.1391 eV per atom
magnetic moment: 0.00 Bohr magnetons per cell
energy above the most stable polymorph in this dataset: 203 meV/atom

Structure (POSCAR):
```
Er6Cd2Rh
1.0
-2.5331 3.5372 7.3480
2.5331 -3.5372 7.3480
2.5331 3.5372 -7.3480
Er Cd Rh
6 2 1
direct
0.0873 0.3449 0.7424
0.2322 0.0000 0.2322
0.3975 0.6551 0.7424
0.6025 0.3449 0.2576
0.7678 0.0000 0.7678
0.9127 0.6551 0.2576
0.3329 0.8329 0.5000
0.6671 0.1671 0.5000
0.0000 0.5000 0.5000
```

13.
The following is a DFT calculation (PBE-GGA) of a geometry-optimized Er7CdRh4 structure.

Summary:
energy of formation from the pure elements: -0.4850 eV per atom
magnetic moment: 0.00 Bohr magnetons per cell

Structure (POSCAR):
```
Er7CdRh4
1.0
6.7250 -2.7096 0.0000
6.7250 2.7096 0.0000
-5.4940 0.0000 7.8105
Er Cd Rh
7 1 4
direct
0.0000 0.0000 0.0000
0.1783 0.1783 0.6273
0.2874 0.2874 0.1219
0.4252 0.4252 0.6288
0.5748 0.5748 0.3712
0.7126 0.7126 0.8781
0.8217 0.8217 0.3727
0.5000 0.5000 0.0000
0.0664 0.0664 0.7783
0.2028 0.2028 0.3438
0.7972 0.7972 0.6562
0.9336 0.9336 0.2217
```

14.
The following is a DFT calculation (PBE-GGA) of a geometry-optimized Er2Cd2Rh3 structure.

Summary:
energy of formation from the pure elements: -0.5903 eV per atom
magnetic moment: 0.00 Bohr magnetons per cell

Structure (POSCAR):
```
Er2Cd2Rh3
1.0
4.6845 0.0000 0.0000
2.3330 4.0796 0.0000
0.0100 2.6901 7.3521
Er Cd Rh
2 2 3
direct
0.1175 0.2662 0.3488
0.8825 0.7338 0.6512
0.3707 0.7595 0.1073
0.6293 0.2405 0.8927
0.2415 0.0156 0.7318
0.5000 0.5000 0.5000
0.7585 0.9844 0.2682
```

15.
The following is a DFT calculation (PBE-GGA) of a geometry-optimized ErCdRh structure.

Summary:
energy of formation from the pure elements: -0.5595 eV per atom
magnetic moment: 0.00 Bohr magnetons per cell

Structure (POSCAR):
```
ErCdRh
1.0
5.0552 0.0000 0.0000
0.0000 8.3849 0.0000
0.0000 0.0000 5.7786
Er Cd Rh
4 4 4
direct
0.0000 0.1606 0.2500
0.0000 0.8394 0.7500
0.5000 0.3394 0.7500
0.5000 0.6606 0.2500
0.0000 0.5000 0.0000
0.0000 0.5000 0.5000
0.5000 0.0000 0.0000
0.5000 0.0000 0.5000
0.0000 0.1839 0.7500
0.0000 0.8161 0.2500
0.5000 0.3161 0.2500
0.5000 0.6839 0.7500
```

16.
The following is a DFT calculation (PBE-GGA) of a geometry-optimized ErCd2Rh3 structure.

Summary:
energy of formation from the pure elements: -0.4398 eV per atom
magnetic moment: 0.00 Bohr magnetons per cell

Structure (POSCAR):
```
ErCd2Rh3
1.0
4.6332 0.0000 0.0000
-2.3166 4.0125 0.0000
0.0000 0.0000 11.3411
Er Cd Rh
2 4 6
direct
0.3333 0.6667 0.1687
0.6667 0.3333 0.8313
0.0000 0.0000 0.0000
0.0000 0.0000 0.5000
0.3333 0.6667 0.6633
0.6667 0.3333 0.3367
0.0000 0.0000 0.2522
0.0000 0.0000 0.7478
0.3333 0.6667 0.4169
0.3333 0.6667 0.9168
0.6667 0.3333 0.0832
0.6667 0.3333 0.5831
```

17.
The following is a DFT calculation (PBE-GGA) of a geometry-optimized ErCd3Rh4 structure.

Summary:
energy of formation from the pure elements: -0.3473 eV per atom
magnetic moment: 0.00 Bohr magnetons per cell

Structure (POSCAR):
```
ErCd3Rh4
1.0
2.3080 1.3325 7.5341
-2.3080 1.3325 7.5341
0.0000 -2.6651 7.5341
Er Cd Rh
1 3 4
direct
0.0000 0.0000 0.0000
0.2490 0.2490 0.2490
0.5000 0.5000 0.5000
0.7510 0.7510 0.7510
0.1252 0.1252 0.1252
0.3759 0.3759 0.3759
0.6241 0.6241 0.6241
0.8748 0.8748 0.8748
```

18.
The following is a DFT calculation (PBE-GGA) of a geometry-optimized Er7Cd2Rh2 structure.

Summary:
energy of formation from the pure elements: -0.3626 eV per atom
magnetic moment: 0.00 Bohr magnetons per cell

Structure (POSCAR):
```
Er7Cd2Rh2
1.0
3.9783 -5.4033 0.0000
3.9783 5.4033 0.0000
0.0000 0.0000 7.0821
Er Cd Rh
7 2 2
direct
0.0000 0.0000 0.0000
0.0000 0.5000 0.2512
0.0000 0.5000 0.7488
0.5000 0.0000 0.2512
0.5000 0.0000 0.7488
0.5000 0.5000 0.2444
0.5000 0.5000 0.7556
0.1773 0.1773 0.5000
0.8227 0.8227 0.5000
0.2885 0.7115 0.0000
0.7115 0.2885 0.0000
```

19.
The following is a DFT calculation (PBE-GGA) of a geometry-optimized ErCdRh structure.

Summary:
energy of formation from the pure elements: -0.4493 eV per atom
magnetic moment: 0.00 Bohr magnetons per cell

Structure (POSCAR):
```
ErCdRh
1.0
7.9572 0.0000 0.0000
0.0000 7.9572 0.0000
0.0000 0.0000 4.2588
Er Cd Rh
4 4 4
direct
0.0709 0.7124 0.0000
0.2876 0.0709 0.5000
0.7124 0.9291 0.5000
0.9291 0.2876 0.0000
0.3465 0.3740 0.0000
0.3740 0.6535 0.5000
0.6260 0.3465 0.5000
0.6535 0.6260 0.0000
0.1290 0.3975 0.5000
0.3975 0.8710 0.0000
0.6025 0.1290 0.0000
0.8710 0.6025 0.5000
```

20.
The following is a DFT calculation (PBE-GGA) of a geometry-optimized ErCdRh structure.

Summary:
energy of formation from the pure elements: -0.4868 eV per atom
magnetic moment: 0.00 Bohr magnetons per cell

Structure (POSCAR):
```
ErCdRh
1.0
6.5448 0.0000 0.0000
0.0000 6.5448 0.0000
0.0000 0.0000 6.5448
Er Cd Rh
4 4 4
direct
0.0000 0.0000 0.0000
0.0000 0.5000 0.5000
0.5000 0.0000 0.5000
0.5000 0.5000 0.0000
0.0000 0.0000 0.5000
0.0000 0.5000 0.0000
0.5000 0.0000 0.0000
0.5000 0.5000 0.5000
0.2500 0.2500 0.7500
0.2500 0.7500 0.2500
0.7500 0.2500 0.2500
0.7500 0.7500 0.7500
```

21.
The following is a DFT calculation (PBE-GGA) of a geometry-optimized Er2CdRh3 structure.

Summary:
energy of formation from the pure elements: -0.6974 eV per atom
magnetic moment: 0.00 Bohr magnetons per cell
energy above the most stable polymorph in this dataset: 44 meV/atom

Structure (POSCAR):
```
Er2CdRh3
1.0
3.3708 0.0000 0.0000
0.0000 3.3708 0.0000
0.0000 0.0000 9.7941
Er Cd Rh
2 1 3
direct
0.0000 0.0000 0.1757
0.0000 0.0000 0.8243
0.0000 0.0000 0.5000
0.5000 0.5000 0.0000
0.5000 0.5000 0.3373
0.5000 0.5000 0.6627
```